Here is crystalline Sm3GdRu at its relaxed geometry from the Alexandria database. Energies are from PBE-GGA.

## Properties
Calculated formation energy ... -10 meV per atom
M_tot ... 8.0 μB per formula unit
SG ... Pm-3m, No. 221
E ... -7.51 eV per atom

Cell lengths 5.4823, 5.4823, 5.4823 Å; angles 90.00, 90.00, 90.00 degrees
Element x y z (fractional)
Sm1 0.0000 0.0000 0.5000
Sm2 0.0000 0.5000 0.0000
Sm3 0.5000 0.0000 0.0000
Gd1 0.5000 0.5000 0.5000
Ru1 0.0000 0.0000 0.0000